(1)
## La5PrO6 (GGA-PBE)

Data for an optimized crystal structure of La5PrO6.

Properties
The formation energy without anion corrections comes out at -2.84 eV per atom.

```
La5PrO6
1.0
-5.895 0.565 -2.187
-3.861 -3.701 3.335
-2.836 2.246 5.165
Pr O La
1 6 5
direct
0.000 0.000 0.000
0.750 0.083 0.334
0.250 0.583 0.334
0.250 0.249 0.000
0.750 0.751 0.000
0.750 0.417 0.666
0.250 0.917 0.666
0.500 0.167 0.667
0.000 0.334 0.332
0.500 0.500 0.000
0.000 0.666 0.668
0.500 0.833 0.333
```

=====

(2)
## LaPr3O4 (GGA-PBE)

Data for an optimized crystal structure of LaPr3O4.

Properties
The formation energy without anion corrections comes out at -2.75 eV per atom.

```
LaPr3O4
1.0
-0.838 -1.814 5.955
-4.177 -2.927 -3.664
4.640 -5.387 -0.988
Pr O La
6 8 2
direct
0.750 0.000 0.376
0.250 0.000 0.624
0.750 0.500 0.624
0.750 0.500 0.126
0.250 0.500 0.376
0.250 0.500 0.874
0.000 0.249 0.625
0.500 0.250 0.874
0.500 0.249 0.375
0.000 0.250 0.126
0.000 0.750 0.874
0.500 0.751 0.625
0.500 0.750 0.126
0.000 0.751 0.375
0.750 0.000 0.874
0.250 0.000 0.126
```

=====

(3)
## LaPr2O3 (GGA-PBE)

Data for an optimized crystal structure of LaPr2O3.

Properties
The formation energy without anion corrections comes out at -2.75 eV per atom.

```
LaPr2O3
1.0
5.132 -0.008 0.000
0.012 7.256 0.000
0.000 0.000 10.814
La Pr O
4 8 12
direct
0.250 0.874 0.084
0.250 0.374 0.416
0.750 0.626 0.584
0.750 0.126 0.916
0.250 0.875 0.749
0.250 0.375 0.751
0.250 0.877 0.417
0.250 0.377 0.083
0.750 0.623 0.917
0.750 0.123 0.583
0.750 0.625 0.249
0.750 0.125 0.251
0.250 0.623 0.583
0.250 0.123 0.917
0.250 0.627 0.916
0.250 0.127 0.584
0.250 0.625 0.251
0.250 0.125 0.249
0.750 0.875 0.751
0.750 0.375 0.749
0.750 0.873 0.416
0.750 0.373 0.084
0.750 0.877 0.083
0.750 0.377 0.417
```